[1]
5
Lattice="4.646 0.000 0.000 0.000 4.646 0.000 0.000 0.000 5.300" Properties=species:S:1:pos:R:3 comment="FeTcAs2Br, PBEsol geometry, DFT meta-GGA SCAN" raw_formation_energy_kj_per_mol_atoms=73.6 spacegroup=P4/mmm pbc="T T T"
Fe 0.000 0.000 0.000
Tc 2.323 2.323 2.650
As 0.000 2.323 2.650
As 2.323 0.000 2.650
Br 2.323 2.323 0.000


[2]
5
Lattice="4.667 0.000 0.000 0.000 4.667 0.000 0.000 0.000 5.052" Properties=species:S:1:pos:R:3 comment="FeTeAsBr2, PBEsol geometry, DFT meta-GGA SCAN" raw_formation_energy_kj_per_mol_atoms=27.1 spacegroup=P4/mmm de_polymorph_ev_per_fu=0.00 pbc="T T T"
Fe 0.000 0.000 0.000
Te 2.334 2.334 2.526
As 0.000 0.000 2.526
Br 0.000 2.334 0.000
Br 2.334 0.000 0.000


[3]
5
Lattice="4.424 0.000 0.000 0.000 4.424 0.000 0.000 0.000 5.031" Properties=species:S:1:pos:R:3 comment="TiFeAs2Br, PBEsol geometry, DFT meta-GGA SCAN" raw_formation_energy_kj_per_mol_atoms=32.7 spacegroup=P4/mmm de_polymorph_ev_per_fu=0.00 pbc="T T T"
Ti 0.000 0.000 0.000
Fe 2.212 2.212 2.515
As 0.000 2.212 2.515
As 2.212 0.000 2.515
Br 2.212 2.212 0.000


[4]
5
Lattice="4.841 0.000 0.000 0.000 4.841 0.000 0.000 0.000 4.898" Properties=species:S:1:pos:R:3 comment="TiFeAs2Br, PBEsol geometry, DFT meta-GGA SCAN" raw_formation_energy_kj_per_mol_atoms=36.6 spacegroup=P4/mmm de_polymorph_ev_per_fu=0.20 pbc="T T T"
Ti 0.000 0.000 0.000
Fe 2.421 2.421 2.449
As 0.000 2.421 0.000
As 2.421 0.000 0.000
Br 0.000 0.000 2.449


[5]
5
Lattice="5.138 0.000 0.000 0.000 5.138 0.000 0.000 0.000 5.120" Properties=species:S:1:pos:R:3 comment="ZrFeAs2Br, PBEsol geometry, DFT meta-GGA SCAN" raw_formation_energy_kj_per_mol_atoms=36.6 spacegroup=P4/mmm pbc="T T T"
Zr 0.000 0.000 0.000
Fe 2.569 2.569 2.560
As 0.000 2.569 0.000
As 2.569 0.000 0.000
Br 0.000 0.000 2.560


[6]
5
Lattice="4.608 0.000 0.000 0.000 4.608 0.000 0.000 0.000 4.802" Properties=species:S:1:pos:R:3 comment="ZrFeAsBr2, PBEsol geometry, DFT meta-GGA SCAN" raw_formation_energy_kj_per_mol_atoms=27.1 spacegroup=P4/mmm pbc="T T T"
Zr 0.000 0.000 0.000
Fe 2.304 2.304 2.401
As 2.304 2.304 0.000
Br 0.000 2.304 2.401
Br 2.304 0.000 2.401


no.,E (eV per cell)
1,-109.2
2,-113.1
3,-92.3
4,-92.1
5,-106.8
6,-106.5